This record from the Alexandria database describes a relaxed Li2BeRe crystal. The functional is GGA-PBE.

```
Li2BeRe
1.0
2.570 0.000 0.000
-0.517 2.517 0.000
0.000 0.000 8.602
Be Li Re
1 2 1
Direct
0.500 0.500 0.737 Be
0.000 0.000 0.969 Li
0.500 0.500 0.268 Li
0.000 0.000 0.526 Re
```

Computed properties:
**Space-group type**: No. 35
**Energy**: -19.32 eV/f.u.

This record from the Alexandria database describes a relaxed KBa2CrRu crystal. The functional is GGA-PBE.

```
KBa2CrRu
1.0
-3.387 -5.031 1.339
4.394 -3.486 -1.986
2.464 -0.141 5.700
Ba Cr Ru K
2 1 1 1
Direct
0.500 0.000 0.000 Ba
0.000 0.000 0.500 Ba
0.000 0.000 0.000 Cr
0.500 0.500 0.500 Ru
0.000 0.500 0.000 K
```

Computed properties:
**Space-group type**: No. 123
**Energy**: -16.68 eV/f.u.

This record from the Alexandria database describes a relaxed La8Dy2Ho crystal. The functional is GGA-PBE.

```
La8Dy2Ho
1.0
5.976 -0.601 -0.902
-1.855 9.356 -1.133
-1.855 -4.648 8.198
La Ho Dy
8 1 2
Direct
0.816 0.667 0.904 La
0.184 0.333 0.096 La
0.184 0.096 0.333 La
0.299 0.580 0.580 La
0.701 0.420 0.420 La
0.500 0.794 0.206 La
0.816 0.904 0.667 La
0.500 0.206 0.794 La
0.500 0.000 0.000 Ho
0.000 0.689 0.311 Dy
0.000 0.311 0.689 Dy
```

Computed properties:
**Space-group type**: No. 12
**Energy**: -51.81 eV/f.u.

This record from the Alexandria database describes a relaxed TaCd2Cl crystal. The functional is GGA-PBE.

```
TaCd2Cl
1.0
9.527 0.000 0.000
0.000 9.527 0.000
4.764 4.764 2.359
Cd Cl Ta
4 2 2
Direct
0.720 0.125 0.250 Cd
0.375 0.280 0.750 Cd
0.030 0.625 0.250 Cd
0.875 0.970 0.750 Cd
0.250 0.750 0.500 Cl
0.500 0.500 0.000 Cl
0.750 0.250 0.500 Ta
0.000 0.000 0.000 Ta
```

Computed properties:
**E_form (uncorrected)**: 0.52 eV/atom
**Space-group type**: No. 122
**Energy**: -13.45 eV/f.u.

This record from the Alexandria database describes a relaxed TcSeO2 crystal. The functional is GGA-PBE.

```
TcSeO2
1.0
-2.379 5.618 4.493
-0.390 4.427 6.137
0.353 6.325 4.158
Se O Tc
1 2 1
Direct
0.500 0.500 0.500 Se
0.081 0.081 0.081 O
0.919 0.919 0.919 O
0.000 0.000 0.000 Tc
```

Computed properties:
**E_form (uncorrected)**: -0.06 eV/atom
**Space-group type**: No. 166
**Energy**: -24.02 eV/f.u.

This record from the Alexandria database describes a relaxed MnPbW2 crystal. The functional is GGA-PBE.

```
MnPbW2
1.0
-4.485 -2.876 -1.063
4.574 -2.478 -0.790
-0.014 -1.786 2.243
Pb W Mn
1 2 1
Direct
0.500 0.000 0.500 Pb
0.000 0.000 0.000 W
0.000 0.500 0.500 W
0.500 0.500 0.000 Mn
```

Computed properties:
**Space-group type**: No. 12
**Energy**: -35.45 eV/f.u.

This record from the Alexandria database describes a relaxed Na2CaPaS4 crystal. The functional is GGA-PBE.

```
Na2CaPaS4
1.0
4.044 0.000 0.000
0.000 7.025 0.138
0.000 -2.431 6.617
S Ca Na Pa
4 1 2 1
Direct
0.000 0.243 0.773 S
0.500 0.234 0.229 S
0.000 0.757 0.227 S
0.500 0.766 0.771 S
0.500 0.500 0.000 Ca
0.000 0.500 0.500 Na
0.500 0.000 0.500 Na
0.000 0.000 0.000 Pa
```

Computed properties:
**E_form (uncorrected)**: -1.63 eV/atom
**Space-group type**: No. 10
**Energy**: -43.72 eV/f.u.

This record from the Alexandria database describes a relaxed Ga3NiAu crystal. The functional is GGA-PBE.

```
Ga3NiAu
1.0
-3.118 2.782 2.572
-3.394 -0.570 -3.497
-1.684 -4.001 2.287
Ga Au Ni
3 1 1
Direct
0.000 0.000 0.500 Ga
0.500 0.000 0.000 Ga
0.000 0.500 0.000 Ga
0.000 0.000 0.000 Au
0.500 0.500 0.500 Ni
```

Computed properties:
**Space-group type**: No. 221
**Energy**: -14.99 eV/f.u.

This record from the Alexandria database describes a relaxed Ni15Sb4Pt crystal. The functional is GGA-PBE.

```
Ni15Sb4Pt
1.0
-2.814 -2.370 -0.534
2.203 -2.835 0.965
-5.100 2.067 17.713
Sb Ni Pt
4 15 1
Direct
0.000 0.000 0.805 Sb
0.000 0.000 0.602 Sb
0.000 0.000 0.195 Sb
0.000 0.000 0.398 Sb
0.000 0.500 0.500 Ni
0.000 0.500 0.299 Ni
0.500 0.500 0.799 Ni
0.500 0.500 0.401 Ni
0.500 0.500 0.201 Ni
0.000 0.500 0.097 Ni
0.500 0.000 0.097 Ni
0.000 0.500 0.903 Ni
0.000 0.500 0.701 Ni
0.500 0.500 0.599 Ni
0.500 0.500 0.000 Ni
0.500 0.000 0.903 Ni
0.500 0.000 0.299 Ni
0.500 0.000 0.500 Ni
0.500 0.000 0.701 Ni
0.000 0.000 0.000 Pt
```

Computed properties:
**E_form (uncorrected)**: -0.12 eV/atom
**Space-group type**: No. 123
**Energy**: -111.75 eV/f.u.

This record from the Alexandria database describes a relaxed CsYSeBr2 crystal. The functional is GGA-PBE.

```
CsYSeBr2
1.0
5.753 0.000 0.000
0.000 5.753 0.000
0.000 0.000 5.491
Se Br Cs Y
1 2 1 1
Direct
0.000 0.000 0.500 Se
0.000 0.500 0.000 Br
0.500 0.000 0.000 Br
0.500 0.500 0.500 Cs
0.000 0.000 0.000 Y
```

Computed properties:
**E_form (uncorrected)**: -1.75 eV/atom
**Space-group type**: No. 123
**Energy**: -22.92 eV/f.u.

This record from the Alexandria database describes a relaxed SmPaN crystal. The functional is GGA-PBE.

```
SmPaN
1.0
4.323 0.000 0.000
2.162 3.744 0.000
2.162 1.248 3.530
Pa Sm N
1 1 1
Direct
0.000 0.000 0.000 Pa
0.500 0.500 0.500 Sm
0.250 0.250 0.250 N
```

Computed properties:
**E_form (uncorrected)**: 0.01 eV/atom
**Space-group type**: No. 216
**Energy**: -22.51 eV/f.u.

This record from the Alexandria database describes a relaxed Sb2TeOsCl crystal. The functional is GGA-PBE.

```
Sb2TeOsCl
1.0
-0.547 -0.668 5.094
0.554 -5.101 -0.609
5.294 0.499 0.634
Os Sb Cl Te
1 2 1 1
Direct
0.000 0.000 0.000 Os
0.000 0.500 0.000 Sb
0.500 0.000 0.000 Sb
0.500 0.500 0.500 Cl
0.000 0.000 0.500 Te
```

Computed properties:
**E_form (uncorrected)**: 0.51 eV/atom
**Space-group type**: No. 123
**Energy**: -21.92 eV/f.u.

M_tot for the records above, in order: 0.0 6.5 0.0 0.0 0.0 2.8 1.0 0.1 1.3 0.0 1.3 0.0 μB per formula unit